Model 1:
Crystalline NdSm2Pu at its relaxed geometry. Source: Alexandria via LeMat-Bulk, functional PBE.

Unit cell a=3.5672 b=3.5672 c=10.2382 alpha=90.00 beta=90.00 gamma=90.00
Last column: nearest neighbours and their distance in Å.
Atoms (fractional coordinates):
Nd 0.0000 0.0000 0.0000  4 Nd 3.57, 8 Sm 3.67
Sm 0.5000 0.5000 0.2603  4 Pu 3.52, 4 Sm 3.57, 4 Nd 3.67
Sm 0.5000 0.5000 0.7397  4 Pu 3.52, 4 Sm 3.57, 4 Nd 3.67
Pu 0.0000 0.0000 0.5000  8 Sm 3.52, 4 Pu 3.57

=====

Model 2:
Crystalline NdSm2Pu at its relaxed geometry. Source: Alexandria via LeMat-Bulk, functional PBE.

Unit cell a=5.0635 b=5.0635 c=5.0688 alpha=90.00 beta=90.00 gamma=90.00
Last column: nearest neighbours and their distance in Å.
Atoms (fractional coordinates):
Nd 0.0000 0.0000 0.0000  4 Pu 3.58, 8 Sm 3.58
Sm 0.0000 0.5000 0.5000  4 Sm 3.58, 4 Pu 3.58, 4 Nd 3.58
Sm 0.5000 0.0000 0.5000  4 Sm 3.58, 4 Pu 3.58, 4 Nd 3.58
Pu 0.5000 0.5000 0.0000  4 Nd 3.58, 8 Sm 3.58

=====

What should be chosen as the least stable of them? Choose model 2.

=====

Model 1:
Crystalline NdSm2Pu at its relaxed geometry. Source: Alexandria via LeMat-Bulk, functional PBE.

Unit cell a=12.6466 b=12.6466 c=12.6466 alpha=15.96 beta=15.96 gamma=15.96
Last column: nearest neighbours and their distance in Å.
Atoms (fractional coordinates):
Nd 0.0000 0.0000 0.0000  6 Nd 3.51, 6 Sm 3.60
Sm 0.4127 0.4127 0.4127  1 Pu 3.27, 6 Sm 3.51, 3 Nd 3.60
Sm 0.5873 0.5873 0.5873  1 Pu 3.27, 6 Sm 3.51, 3 Nd 3.60
Pu 0.5000 0.5000 0.5000  2 Sm 3.27, 6 Pu 3.51

=====

Model 2:
Crystalline NdSm2Pu at its relaxed geometry. Source: Alexandria via LeMat-Bulk, functional PBE.

Unit cell a=11.8361 b=11.8361 c=11.8361 alpha=17.52 beta=17.52 gamma=17.52
Last column: nearest neighbours and their distance in Å.
Atoms (fractional coordinates):
Nd 0.0000 0.0000 0.0000  6 Nd 3.61, 6 Sm 3.65-3.67
Sm 0.2477 0.2477 0.2477  3 Pu 3.50, 6 Sm 3.61, 3 Nd 3.65
Sm 0.4196 0.4196 0.4196  3 Pu 3.51, 6 Sm 3.61, 3 Nd 3.67
Pu 0.8338 0.8338 0.8338  6 Sm 3.50-3.51, 6 Pu 3.61

=====

What should be chosen as the least stable of them? Choose model 1.